(1)
The following is a PBE calculation of a geometry-optimized Sm6DyHo3Tm2 structure, from Alexandria.

abc: 6.194 6.194 11.761
angles: 95.03 95.03 119.99
Element x y z (fractional)
Sm  0.083  0.416  0.751
Sm  0.250  0.250  0.249
Sm  0.416  0.083  0.751
Sm  0.584  0.917  0.249
Sm  0.750  0.750  0.751
Sm  0.917  0.584  0.249
Dy  0.500  0.500  0.000
Ho  0.000  0.000  0.500
Ho  0.333  0.667  0.500
Ho  0.667  0.333  0.500
Tm  0.167  0.833  0.000
Tm  0.833  0.167  0.000

- ΔH_f (0 K): 0.015 eV per atom
- Symmetry: C2/m, No. 12
- Energy: -4.62 eV per atom

(2)
The following is a PBE calculation of a geometry-optimized Sm3Dy6HoTm2 structure, from Alexandria.

abc: 6.152 6.152 11.765
angles: 94.98 94.98 119.96
Element x y z (fractional)
Sm  0.000  0.000  0.000
Sm  0.333  0.667  0.000
Sm  0.667  0.333  0.000
Dy  0.084  0.417  0.254
Dy  0.249  0.249  0.746
Dy  0.417  0.084  0.254
Dy  0.583  0.916  0.746
Dy  0.751  0.751  0.254
Dy  0.916  0.583  0.746
Ho  0.500  0.500  0.500
Tm  0.167  0.833  0.500
Tm  0.833  0.167  0.500

- ΔH_f (0 K): 0.018 eV per atom
- Symmetry: C2/m, No. 12
- Energy: -4.59 eV per atom

(3)
The following is a PBE calculation of a geometry-optimized SmDyHo2Tm structure, from Alexandria.

abc: 7.056 7.056 7.176
angles: 90.00 90.00 107.49
Element x y z (fractional)
Sm  0.227  0.773  0.750
Sm  0.773  0.227  0.250
Dy  0.500  0.500  0.250
Dy  0.500  0.500  0.750
Ho  0.190  0.190  0.000
Ho  0.190  0.190  0.500
Ho  0.810  0.810  0.000
Ho  0.810  0.810  0.500
Tm  0.221  0.779  0.250
Tm  0.779  0.221  0.750

- ΔH_f (0 K): 0.401 eV per atom
- Symmetry: Cmcm, No. 63
- Energy: -4.19 eV per atom

(4)
The following is a PBE calculation of a geometry-optimized SmDyHoTm structure, from Alexandria.

abc: 3.713 5.824 11.778
angles: 90.00 90.00 90.00
Element x y z (fractional)
Sm  0.000  0.000  0.000
Sm  0.500  0.500  0.500
Dy  0.000  0.500  0.762
Dy  0.500  0.000  0.262
Ho  0.000  0.000  0.510
Ho  0.500  0.500  0.010
Tm  0.000  0.500  0.250
Tm  0.500  0.000  0.750

- ΔH_f (0 K): 0.125 eV per atom
- Symmetry: Imm2, No. 44
- Energy: -4.47 eV per atom
- Polymorph energy (0 for the lowest one): 0.0 kJ per mole of atoms

(5)
The following is a PBE calculation of a geometry-optimized Sm2Dy3Ho6Tm structure, from Alexandria.

abc: 6.130 6.130 11.733
angles: 94.97 94.97 119.95
Element x y z (fractional)
Sm  0.167  0.833  0.000
Sm  0.833  0.167  0.000
Dy  0.000  0.000  0.500
Dy  0.334  0.666  0.500
Dy  0.666  0.334  0.500
Ho  0.083  0.416  0.749
Ho  0.252  0.252  0.251
Ho  0.416  0.083  0.749
Ho  0.584  0.917  0.251
Ho  0.748  0.748  0.749
Ho  0.917  0.584  0.251
Tm  0.500  0.500  0.000

- ΔH_f (0 K): 0.017 eV per atom
- Symmetry: C2/m, No. 12
- Energy: -4.58 eV per atom

(6)
The following is a PBE calculation of a geometry-optimized SmDy2HoTm4 structure, from Alexandria.

abc: 4.982 4.982 9.947
angles: 90.00 90.00 90.00
Element x y z (fractional)
Sm  0.000  0.000  0.000
Dy  0.000  0.000  0.500
Dy  0.500  0.500  0.000
Ho  0.500  0.500  0.500
Tm  0.000  0.500  0.252
Tm  0.000  0.500  0.748
Tm  0.500  0.000  0.252
Tm  0.500  0.000  0.748

- ΔH_f (0 K): 0.023 eV per atom
- Symmetry: P4/mmm, No. 123
- Energy: -4.52 eV per atom

The highest energy belongs to which entry?
SmDyHo2Tm

Which formula does entry 4 have?
SmDyHoTm

Among the records above, which one has the lowest ΔH_f (0 K)?
Sm6DyHo3Tm2

The highest ΔH_f (0 K) belongs to which entry?
SmDyHo2Tm